Run P
Density functional theory data (PBE) for a relaxed LaTb3In2 crystal.

crystal system = orthorhombic
size of the total moment = 0.0 μB per cell

Cell and atoms, written as CIF:
```
data_LaTb3In2
_chemical_formula_sum 'La2 Tb6 In4'
_cell_length_a 5.286
_cell_length_b 10.013
_cell_length_c 6.778
_cell_angle_alpha 90.00
_cell_angle_beta 90.00
_cell_angle_gamma 90.00
_space_group_name_H-M_alt 'P m c 21'
_space_group_IT_number 26
_space_group_name_Hall 'P 2c -2'
loop_
_atom_site_label
_atom_site_fract_x
_atom_site_fract_y
_atom_site_fract_z
La1 0.000 0.038 0.000
Tb1 0.000 0.324 0.645
Tb2 0.500 0.187 0.274
Tb3 0.500 0.459 0.925
In1 0.000 0.361 0.172
In2 0.500 0.148 0.743
```

Run Q
Density functional theory data (PBE) for a relaxed LaTb3In2 crystal.

crystal system = monoclinic
size of the total moment = 0.1 μB per cell

Cell and atoms, written as CIF:
```
data_LaTb3In2
_chemical_formula_sum 'La4 Tb12 In8'
_cell_length_a 16.488
_cell_length_b 5.439
_cell_length_c 9.269
_cell_angle_alpha 90.00
_cell_angle_beta 118.72
_cell_angle_gamma 90.00
_space_group_name_H-M_alt 'C 1 2/m 1'
_space_group_IT_number 12
_space_group_name_Hall '-C 2y'
loop_
_atom_site_label
_atom_site_fract_x
_atom_site_fract_y
_atom_site_fract_z
La1 0.131 0.000 0.172
Tb1 0.061 0.000 0.714
Tb2 0.116 0.500 0.542
Tb3 0.194 0.500 0.995
In1 0.016 0.500 0.167
In2 0.226 0.000 0.594
```

run P comes first in stability; the runner-up is 8.6 kJ/mol of atoms higher.

Run P
Density functional theory data (PBE) for a relaxed LaTb4In2 crystal.

crystal system = monoclinic
size of the total moment = 0.0 μB per cell

Cell and atoms, written as CIF:
```
data_LaTb4In2
_chemical_formula_sum 'La2 Tb8 In4'
_cell_length_a 6.438
_cell_length_b 10.950
_cell_length_c 6.807
_cell_angle_alpha 90.00
_cell_angle_beta 112.90
_cell_angle_gamma 90.00
_space_group_name_H-M_alt 'P 1 21/c 1'
_space_group_IT_number 14
_space_group_name_Hall '-P 2ybc'
loop_
_atom_site_label
_atom_site_fract_x
_atom_site_fract_y
_atom_site_fract_z
La1 0.000 0.000 0.000
Tb1 0.002 0.169 0.500
Tb2 0.498 0.721 0.500
In1 0.439 0.000 0.684
```

Run Q
Density functional theory data (PBE) for a relaxed LaTb4In2 crystal.

crystal system = tetragonal
size of the total moment = 0.0 μB per cell

Cell and atoms, written as CIF:
```
data_LaTb4In2
_chemical_formula_sum 'La2 Tb8 In4'
_cell_length_a 9.341
_cell_length_b 9.341
_cell_length_c 5.150
_cell_angle_alpha 90.00
_cell_angle_beta 90.00
_cell_angle_gamma 90.00
_space_group_name_H-M_alt 'P 42/m n m'
_space_group_IT_number 136
_space_group_name_Hall '-P 4n 2n'
loop_
_atom_site_label
_atom_site_fract_x
_atom_site_fract_y
_atom_site_fract_z
La1 0.000 0.000 0.000
Tb1 0.103 0.354 0.500
In1 0.204 0.796 0.500
```

run Q comes first in stability; the runner-up is 3.4 kJ/mol of atoms higher.

Run P
Density functional theory data (PBE) for a relaxed LaTbTmIn crystal.

crystal system = cubic
size of the total moment = 2.4 μB per cell

Cell and atoms, written as CIF:
```
data_LaTbTmIn
_chemical_formula_sum 'La4 Tb4 Tm4 In4'
_cell_length_a 7.743
_cell_length_b 7.743
_cell_length_c 7.743
_cell_angle_alpha 90.00
_cell_angle_beta 90.00
_cell_angle_gamma 90.00
_space_group_name_H-M_alt 'F -4 3 m'
_space_group_IT_number 216
_space_group_name_Hall 'F -4 2 3'
loop_
_atom_site_label
_atom_site_fract_x
_atom_site_fract_y
_atom_site_fract_z
La1 0.000 0.000 0.000
Tb1 0.250 0.250 0.750
Tm1 0.250 0.250 0.250
In1 0.000 0.000 0.500
```

Run Q
Density functional theory data (PBE) for a relaxed LaTbTmIn crystal.

crystal system = cubic
size of the total moment = 3.3 μB per cell

Cell and atoms, written as CIF:
```
data_LaTbTmIn
_chemical_formula_sum 'La4 Tb4 Tm4 In4'
_cell_length_a 7.828
_cell_length_b 7.828
_cell_length_c 7.828
_cell_angle_alpha 90.00
_cell_angle_beta 90.00
_cell_angle_gamma 90.00
_space_group_name_H-M_alt 'F -4 3 m'
_space_group_IT_number 216
_space_group_name_Hall 'F -4 2 3'
loop_
_atom_site_label
_atom_site_fract_x
_atom_site_fract_y
_atom_site_fract_z
La1 0.000 0.000 0.000
Tb1 0.000 0.000 0.500
Tm1 0.250 0.250 0.250
In1 0.250 0.250 0.750
```

run Q comes first in stability; the runner-up is 7.8 kJ/mol of atoms higher.

Run P
Density functional theory data (PBE) for a relaxed LaTbYIn crystal.

crystal system = cubic
size of the total moment = 4.8 μB per cell

Cell and atoms, written as CIF:
```
data_LaTbYIn
_chemical_formula_sum 'La4 Tb4 Y4 In4'
_cell_length_a 7.865
_cell_length_b 7.865
_cell_length_c 7.865
_cell_angle_alpha 90.00
_cell_angle_beta 90.00
_cell_angle_gamma 90.00
_space_group_name_H-M_alt 'F -4 3 m'
_space_group_IT_number 216
_space_group_name_Hall 'F -4 2 3'
loop_
_atom_site_label
_atom_site_fract_x
_atom_site_fract_y
_atom_site_fract_z
La1 0.000 0.000 0.000
Tb1 0.250 0.250 0.250
Y1 0.000 0.000 0.500
In1 0.250 0.250 0.750
```

Run Q
Density functional theory data (PBE) for a relaxed LaTbYIn crystal.

crystal system = cubic
size of the total moment = 3.6 μB per cell

Cell and atoms, written as CIF:
```
data_LaTbYIn
_chemical_formula_sum 'La4 Tb4 Y4 In4'
_cell_length_a 7.797
_cell_length_b 7.797
_cell_length_c 7.797
_cell_angle_alpha 90.00
_cell_angle_beta 90.00
_cell_angle_gamma 90.00
_space_group_name_H-M_alt 'F -4 3 m'
_space_group_IT_number 216
_space_group_name_Hall 'F -4 2 3'
loop_
_atom_site_label
_atom_site_fract_x
_atom_site_fract_y
_atom_site_fract_z
La1 0.000 0.000 0.000
Tb1 0.250 0.250 0.750
Y1 0.250 0.250 0.250
In1 0.000 0.000 0.500
```

run P comes first in stability; the runner-up is 5.3 kJ/mol of atoms higher.

Run P
Density functional theory data (PBE) for a relaxed LaIn2Tc crystal.

crystal system = monoclinic
size of the total moment = 0.0 μB per cell

Cell and atoms, written as CIF:
```
data_LaIn2Tc
_chemical_formula_sum 'La1 In2 Tc1'
_cell_length_a 3.641
_cell_length_b 4.979
_cell_length_c 5.554
_cell_angle_alpha 90.00
_cell_angle_beta 107.66
_cell_angle_gamma 90.00
_space_group_name_H-M_alt 'P 1 2/m 1'
_space_group_IT_number 10
_space_group_name_Hall '-P 2y'
loop_
_atom_site_label
_atom_site_fract_x
_atom_site_fract_y
_atom_site_fract_z
La1 0.000 0.000 0.000
In1 0.362 0.500 0.716
Tc1 0.500 0.000 0.500
```

Run Q
Density functional theory data (PBE) for a relaxed LaIn2Tc crystal.

crystal system = orthorhombic
size of the total moment = 0.0 μB per cell

Cell and atoms, written as CIF:
```
data_LaIn2Tc
_chemical_formula_sum 'La2 In4 Tc2'
_cell_length_a 3.321
_cell_length_b 4.589
_cell_length_c 13.303
_cell_angle_alpha 90.00
_cell_angle_beta 90.00
_cell_angle_gamma 90.00
_space_group_name_H-M_alt 'I m m 2'
_space_group_IT_number 44
_space_group_name_Hall 'I 2 -2'
loop_
_atom_site_label
_atom_site_fract_x
_atom_site_fract_y
_atom_site_fract_z
La1 0.000 0.000 0.000
In1 0.000 0.000 0.351
In2 0.000 0.500 0.189
Tc1 0.000 0.500 0.680
```

run Q comes first in stability; the runner-up is 4.2 kJ/mol of atoms higher.

Run P
Density functional theory data (PBE) for a relaxed LaIn2Tc crystal.

crystal system = monoclinic
size of the total moment = 0.0 μB per cell

Cell and atoms, written as CIF:
```
data_LaIn2Tc
_chemical_formula_sum 'La1 In2 Tc1'
_cell_length_a 3.550
_cell_length_b 3.582
_cell_length_c 7.624
_cell_angle_alpha 90.00
_cell_angle_beta 95.06
_cell_angle_gamma 90.00
_space_group_name_H-M_alt 'P 1 m 1'
_space_group_IT_number 6
_space_group_name_Hall 'P -2y'
loop_
_atom_site_label
_atom_site_fract_x
_atom_site_fract_y
_atom_site_fract_z
La1 0.000 0.000 0.000
In1 0.457 0.500 0.666
In2 0.933 0.000 0.415
Tc1 0.414 0.500 0.252
```

Run Q
Density functional theory data (PBE) for a relaxed LaIn2Tc crystal.

crystal system = tetragonal
size of the total moment = 0.9 μB per cell

Cell and atoms, written as CIF:
```
data_LaIn2Tc
_chemical_formula_sum 'La1 In2 Tc1'
_cell_length_a 4.327
_cell_length_b 4.327
_cell_length_c 5.029
_cell_angle_alpha 90.00
_cell_angle_beta 90.00
_cell_angle_gamma 90.00
_space_group_name_H-M_alt 'P 4/m m m'
_space_group_IT_number 123
_space_group_name_Hall '-P 4 2'
loop_
_atom_site_label
_atom_site_fract_x
_atom_site_fract_y
_atom_site_fract_z
La1 0.000 0.000 0.000
In1 0.000 0.500 0.500
Tc1 0.500 0.500 0.000
```

run P comes first in stability; the runner-up is 7.8 kJ/mol of atoms higher.

Run P
Density functional theory data (PBE) for a relaxed LaIn2Tc crystal.

crystal system = tetragonal
size of the total moment = 0.0 μB per cell

Cell and atoms, written as CIF:
```
data_LaIn2Tc
_chemical_formula_sum 'La2 In4 Tc2'
_cell_length_a 4.642
_cell_length_b 4.642
_cell_length_c 8.536
_cell_angle_alpha 90.00
_cell_angle_beta 90.00
_cell_angle_gamma 90.00
_space_group_name_H-M_alt 'I 4/m m m'
_space_group_IT_number 139
_space_group_name_Hall '-I 4 2'
loop_
_atom_site_label
_atom_site_fract_x
_atom_site_fract_y
_atom_site_fract_z
La1 0.000 0.000 0.000
In1 0.000 0.500 0.250
Tc1 0.000 0.000 0.500
```

Run Q
Density functional theory data (PBE) for a relaxed LaIn2Tc crystal.

crystal system = monoclinic
size of the total moment = 1.8 μB per cell

Cell and atoms, written as CIF:
```
data_LaIn2Tc
_chemical_formula_sum 'La2 In4 Tc2'
_cell_length_a 5.830
_cell_length_b 10.047
_cell_length_c 3.260
_cell_angle_alpha 90.00
_cell_angle_beta 100.79
_cell_angle_gamma 90.00
_space_group_name_H-M_alt 'C 1 2/m 1'
_space_group_IT_number 12
_space_group_name_Hall '-C 2y'
loop_
_atom_site_label
_atom_site_fract_x
_atom_site_fract_y
_atom_site_fract_z
La1 0.000 0.000 0.000
In1 0.250 0.250 0.500
Tc1 0.000 0.500 0.000
```

Run R
Density functional theory data (PBE) for a relaxed LaIn2Tc crystal.

crystal system = tetragonal
size of the total moment = 0.7 μB per cell

Cell and atoms, written as CIF:
```
data_LaIn2Tc
_chemical_formula_sum 'La2 In4 Tc2'
_cell_length_a 4.738
_cell_length_b 4.738
_cell_length_c 8.294
_cell_angle_alpha 90.00
_cell_angle_beta 90.00
_cell_angle_gamma 90.00
_space_group_name_H-M_alt 'I -4 m 2'
_space_group_IT_number 119
_space_group_name_Hall 'I -4 -2'
loop_
_atom_site_label
_atom_site_fract_x
_atom_site_fract_y
_atom_site_fract_z
La1 0.000 0.000 0.000
In1 0.000 0.000 0.500
In2 0.000 0.500 0.250
Tc1 0.000 0.500 0.750
```

Run S
Density functional theory data (PBE) for a relaxed LaIn2Tc crystal.

crystal system = tetragonal
size of the total moment = 2.7 μB per cell

Cell and atoms, written as CIF:
```
data_LaIn2Tc
_chemical_formula_sum 'La4 In8 Tc4'
_cell_length_a 4.277
_cell_length_b 4.277
_cell_length_c 21.882
_cell_angle_alpha 90.00
_cell_angle_beta 90.00
_cell_angle_gamma 90.00
_space_group_name_H-M_alt 'I -4 2 d'
_space_group_IT_number 122
_space_group_name_Hall 'I -4 2bw'
loop_
_atom_site_label
_atom_site_fract_x
_atom_site_fract_y
_atom_site_fract_z
La1 0.000 0.000 0.000
In1 0.220 0.250 0.625
Tc1 0.000 0.000 0.500
```

run P comes first in stability; the runner-up is 15.8 kJ/mol of atoms higher.

Run P
Density functional theory data (PBE) for a relaxed LaIn2Tc crystal.

crystal system = trigonal
size of the total moment = 0.0 μB per cell

Cell and atoms, written as CIF:
```
data_LaIn2Tc
_chemical_formula_sum 'La3 In6 Tc3'
_cell_length_a 4.6260
_cell_length_b 4.6260
_cell_length_c 16.4616
_cell_angle_alpha 90.00
_cell_angle_beta 90.00
_cell_angle_gamma 120.00
_space_group_name_H-M_alt 'R -3 m'
_space_group_IT_number 166
_space_group_name_Hall '-R 3 2"'
loop_
_atom_site_label
_atom_site_fract_x
_atom_site_fract_y
_atom_site_fract_z
La1 0.0000 0.0000 0.0000
In1 0.0000 0.0000 0.2158
Tc1 0.0000 0.0000 0.5000
```

Run Q
Density functional theory data (PBE) for a relaxed LaIn2Tc crystal.

crystal system = orthorhombic
size of the total moment = 0.0 μB per cell

Cell and atoms, written as CIF:
```
data_LaIn2Tc
_chemical_formula_sum 'La2 In4 Tc2'
_cell_length_a 3.525
_cell_length_b 5.165
_cell_length_c 10.517
_cell_angle_alpha 90.00
_cell_angle_beta 90.00
_cell_angle_gamma 90.00
_space_group_name_H-M_alt 'I m m m'
_space_group_IT_number 71
_space_group_name_Hall '-I 2 2'
loop_
_atom_site_label
_atom_site_fract_x
_atom_site_fract_y
_atom_site_fract_z
La1 0.000 0.000 0.000
In1 0.000 0.500 0.213
Tc1 0.000 0.000 0.500
```

run Q comes first in stability; the runner-up is 1.5 kJ/mol of atoms higher.